VASP calculation (GGA-PBE) on a relaxed Mg2ReHg crystal.

Output
crystal system	trigonal
formation enthalpy at 0 K	0.279	eV/atom
calculated density	9.73	g cm⁻³

CIF file:
```
data_Mg2ReHg
_cell_length_a 2.9682
_cell_length_b 2.9682
_cell_length_c 29.2234
_cell_angle_alpha 90.00
_cell_angle_beta 90.00
_cell_angle_gamma 120.00
_symmetry_space_group_name_H-M 'R -3 m'
_symmetry_Int_Tables_number 166
_symmetry_space_group_name_Hall '-R 3 2"'
loop_
_atom_site_label
_atom_site_type_symbol
_atom_site_fract_x
_atom_site_fract_y
_atom_site_fract_z
_atom_site_occupancy
Mg1 Mg 0.0000 0.0000 0.2434 1
Re1 Re 0.0000 0.0000 0.5000 1
Hg1 Hg 0.0000 0.0000 0.0000 1
```